VASP calculation (PBE) on SrMn2Tc after structural relaxation.

extended XYZ file:
```
4
Lattice="-5.468 -2.293 2.273 -0.811 -5.179 3.583 3.104 5.492 -0.725" Properties=species:S:1:pos:R:3 pbc="T T T"
Mn -0.681 -0.810 0.635
Mn -2.528 -0.003 2.030
Sr -2.901 -3.453 2.706
Tc -0.203 -1.451 2.688
```

Properties
Polymorph energy (0 for the lowest one)   0.259 eV per atom
Formation enthalpy at 0 K   0.66 eV/atom
Total magnetization   3.166 μB/f.u.
Density   5.49 g/cm³
Calculated volume   22.330 Å³/atom